(1)
Density functional theory data (PBE) for an optimized crystal structure of BaAl3Tc.

Cell and atoms, written as POSCAR:
```
BaAl3Tc
1.0
-5.359 -1.504 -0.340
0.378 -0.091 -5.563
1.495 -5.369 0.190
Tc Ba Al
1 1 3
Cartesian
-1.743 -3.482 -2.857
0.000 0.000 0.000
0.189 -0.046 -2.782
0.747 -2.685 0.095
-2.680 -0.752 -0.170
```

## Properties
**Calculated total energy**: -11.07 eV/cell
**V**: 34.7 A^3/atom
**D(E_F)**: 13.96 states/eV per cell
**E above lowest polymorph**: 2806 meV/atom
**Formation enthalpy at 0 K**: 2489 meV per atom



(2)
Density functional theory data (PBE) for an optimized crystal structure of BaAl2Tc.

Cell and atoms, written as POSCAR:
```
BaAl2Tc
1.0
3.980 0.000 0.000
0.000 3.336 -0.048
0.000 0.106 7.249
Ba Al Tc
1 2 1
Cartesian
0.000 2.137 3.560
0.000 0.514 6.649
1.990 0.436 1.272
1.990 2.182 6.569
```

## Properties
**Calculated total energy**: -19.41 eV/cell
**V**: 24.1 A^3/atom
**D(E_F)**: 2.88 states/eV per cell
**E above lowest polymorph**: 169 meV/atom
**Formation enthalpy at 0 K**: 91 meV per atom



(3)
Density functional theory data (PBE) for an optimized crystal structure of BaAl3Tc.

Cell and atoms, written as POSCAR:
```
BaAl3Tc
1.0
-5.186 -3.456 1.021
7.207 -8.199 8.853
-1.297 3.110 3.936
Al Tc Ba
12 4 4
Cartesian
-2.675 -1.550 6.320
3.398 -6.995 7.490
1.306 -5.447 8.305
3.312 -2.311 9.577
-2.082 -1.392 3.663
-4.088 -4.528 2.391
0.478 -7.937 8.995
4.811 -4.017 11.419
-2.589 -6.234 4.233
0.246 -0.608 4.815
2.806 -7.153 10.147
-0.583 -3.098 5.505
3.496 -4.864 9.385
-2.772 -3.681 4.426
0.097 -2.615 3.078
0.627 -5.930 10.733
2.955 -2.545 6.395
1.010 -5.827 4.937
-0.649 1.555 1.968
-2.593 -1.728 0.510
```

## Properties
**Calculated total energy**: -96.24 eV/cell
**V**: 23.0 A^3/atom
**D(E_F)**: 5.23 states/eV per cell
**E above lowest polymorph**: 209 meV/atom
**Formation enthalpy at 0 K**: -108 meV per atom